A | LaTa3O9 | GGA-PBE | relaxed

Properties
Density of states at the Fermi level, states/eV per cell: 0.0
Crystal system: monoclinic
Density, g/cm3: 7.81

abc: 5.5179 7.6613 8.3149
angles: 90.00 92.34 90.00
Space group P2_1/m (No. 11)
Symmetry-distinct sites (fractional):
La 0.0344 0.2500 0.4343 x2
Ta 0.0000 0.0000 0.0000 x2
Ta 0.4739 0.0063 0.6983 x4
O 0.0757 0.2500 0.9852 x2
O 0.1609 0.5521 0.7896 x4
O 0.2678 0.5355 0.4691 x4
O 0.3122 0.5422 0.1253 x4
O 0.3633 0.2500 0.6637 x2
O 0.4460 0.2500 0.3143 x2

B | LaTa3O9 | GGA-PBE | relaxed

Properties
Density of states at the Fermi level, states/eV per cell: 0.0
Crystal system: orthorhombic
Density, g/cm3: 8.43

abc: 6.6198 7.7536 12.6763
angles: 90.00 90.00 90.00
Space group Pnma (No. 62)
Symmetry-distinct sites (fractional):
La 0.0507 0.2500 0.0268 x4
Ta 0.0000 0.0000 0.5000 x4
Ta 0.2167 0.0021 0.7846 x8
O 0.0263 0.0313 0.6563 x8
O 0.0629 0.7500 0.5196 x4
O 0.0913 0.0205 0.1669 x8
O 0.1901 0.2500 0.8180 x4
O 0.2066 0.7500 0.7984 x4
O 0.2141 0.5269 0.9582 x8

C | LaTa3O9 | GGA-PBE | relaxed

Properties
Density of states at the Fermi level, states/eV per cell: 0.0
Crystal system: monoclinic
Density, g/cm3: 7.32

abc: 16.7893 5.5899 9.7578
angles: 90.00 125.05 90.00
Space group C2/m (No. 12)
Symmetry-distinct sites (fractional):
La 0.1688 0.0000 0.0010 x4
Ta 0.0762 0.5000 0.7407 x4
Ta 0.0844 0.0000 0.2516 x4
Ta 0.2476 0.0000 0.7349 x4
O 0.0000 0.0000 0.0000 x2
O 0.0000 0.5000 0.5000 x2
O 0.0092 0.2405 0.7674 x8
O 0.1653 0.0000 0.4966 x4
O 0.1651 0.2409 0.2333 x8
O 0.1739 0.2497 0.7716 x8
O 0.1753 0.5000 0.9999 x4

Least stable = B

A | La3TaO7 | GGA-PBE | relaxed

Properties
Density of states at the Fermi level, states/eV per cell: 0.0
Crystal system: orthorhombic
Density, g/cm3: 6.87

abc: 7.7356 11.1732 3.9673
angles: 90.00 90.00 90.00
Space group Cmmm (No. 65)
Symmetry-distinct sites (fractional):
La 0.0000 0.0000 0.0000 x2
La 0.2500 0.2500 0.5000 x4
Ta 0.0000 0.5000 0.0000 x2
O 0.0000 0.1306 0.5000 x4
O 0.0000 0.5000 0.5000 x2
O 0.1912 0.3764 0.0000 x8

B | La3TaO7 | GGA-PBE | relaxed

Properties
Density of states at the Fermi level, states/eV per cell: 0.0
Crystal system: orthorhombic
Density, g/cm3: 7.03

abc: 11.2082 7.6380 7.8292
angles: 90.00 90.00 90.00
Space group Cmcm (No. 63)
Symmetry-distinct sites (fractional):
La 0.0000 0.0000 0.0000 x4
La 0.2281 0.2937 0.2500 x8
Ta 0.0000 0.5000 0.0000 x4
O 0.0000 0.4407 0.2500 x4
O 0.1248 0.3135 0.5308 x16
O 0.1304 0.0224 0.2500 x8

Least stable = A

A | LaTaO2 | GGA-PBE | relaxed

Properties
Density of states at the Fermi level, states/eV per cell: 8.0
Crystal system: cubic
Density, g/cm3: 10.74

abc: 6.0144 6.0144 6.0144
angles: 90.00 90.00 90.00
Space group Fm-3m (No. 225)
Symmetry-distinct sites (fractional):
La 0.0000 0.0000 0.0000 x4
Ta 0.0000 0.0000 0.5000 x4
O 0.2500 0.2500 0.2500 x8

B | LaTaO2 | GGA-PBE | relaxed

Properties
Density of states at the Fermi level, states/eV per cell: 1.0
Crystal system: tetragonal
Density, g/cm3: 8.37

abc: 4.8150 4.8150 12.0451
angles: 90.00 90.00 90.00
Space group I-42d (No. 122)
Symmetry-distinct sites (fractional):
La 0.0000 0.0000 0.0000 x4
Ta 0.0000 0.0000 0.5000 x4
O 0.1144 0.2500 0.6250 x8

C | LaTaO2 | GGA-PBE | relaxed

Properties
Density of states at the Fermi level, states/eV per cell: 3.1
Crystal system: trigonal
Density, g/cm3: 7.92

abc: 3.8091 3.8091 17.6130
angles: 90.00 90.00 120.00
Space group R-3m (No. 166, hexagonal axes)
Symmetry-distinct sites (fractional):
La 0.0000 0.0000 0.0000 x3
Ta 0.0000 0.0000 0.5000 x3
O 0.0000 0.0000 0.3902 x6

Least stable = A